DFT (PBE-GGA) results for a geometry-optimized Be2CoRe structure. Values from VASP.

Calculated values
- Total moment: 0.91 μB per formula unit
- E: -53.78 eV per cell
- Crystal system: monoclinic
- Excess energy over the best structure of this formula in the dataset: 0.1921 eV per atom
- DFT formation energy: 0.03 eV per atom

Geometry as Quantum ESPRESSO input:
```
&SYSTEM
  ibrav = 0, nat = 8, ntyp = 3
/
ATOMIC_SPECIES
Be 9.01 Be.upf
Co 58.93 Co.upf
Re 186.21 Re.upf
CELL_PARAMETERS angstrom
4.979 0.000 0.000
0.000 7.470 0.000
-0.869 0.000 2.345
ATOMIC_POSITIONS crystal
Be 0.250 0.250 0.000
Be 0.250 0.750 0.000
Be 0.750 0.250 0.000
Be 0.750 0.750 0.000
Co 0.000 0.000 0.500
Co 0.500 0.500 0.500
Re 0.000 0.500 0.500
Re 0.500 0.000 0.500
```